# Ba3Sn4Hg4 GGA-PBE optimized geometry
data_Ba3Sn4Hg4
_chemical_formula_sum 'Ba6 Sn8 Hg8'
_space_group_name_H-M_alt 'C 1 2/m 1'
_space_group_IT_number 12
_cell_length_a 29.326
_cell_length_b 5.022
_cell_length_c 5.001
_cell_angle_alpha 90.00
_cell_angle_beta 99.65
_cell_angle_gamma 90.00
loop_
_space_group_symop_operation_xyz
'x,y,z'
'-x,-y,-z'
'-x,y,-z'
'x,-y,z'
'x+1/2,y+1/2,z'
'-x+1/2,-y+1/2,-z'
'-x+1/2,y+1/2,-z'
'x+1/2,-y+1/2,z'
loop_
_atom_site_label
_atom_site_type_symbol
_atom_site_fract_x
_atom_site_fract_y
_atom_site_fract_z
_atom_site_occupancy
Ba1 Ba 0.000 0.000 0.000 1
Ba2 Ba 0.152 0.500 0.148 1
Sn1 Sn 0.050 0.500 0.505 1
Sn2 Sn 0.193 0.000 0.682 1
Hg1 Hg 0.095 0.000 0.633 1
Hg2 Hg 0.249 0.500 0.758 1
# Offset from the most stable computed form in meV/atom: 0
# Density in kg/m³: 7726
# DFT formation energy in eV/atom: -0.49